(1)
First-principles (GGA-PBE) data for a relaxed LaBeRe3 crystal, as listed in Alexandria.

Results
**ΔE to the lowest computed polymorph**: 2.524 eV per atom
**Space group**: Pm-3m, No. 221
**DOS at the Fermi energy**: 8.262 states/eV/cell

a = 4.8086 Å, b = 4.8086 Å, c = 4.8086 Å
α = 90.00°, β = 90.00°, γ = 90.00°
Last column: nearest neighbours and their distance in Å.
Element x y z (fractional)
Re  0.0000  0.0000  0.5000  2 La 2.40
Re  0.5000  0.0000  0.0000  2 La 2.40
Re  0.0000  0.5000  0.0000  2 La 2.40
Be  0.5000  0.5000  0.5000  12 Re 3.40
La  0.0000  0.0000  0.0000  6 Re 2.40

***

(2)
First-principles (GGA-PBE) data for a relaxed Li2SmZn2Hg2 crystal, as listed in Alexandria.

Results
**Electronic total energy**: -13.71 eV/f.u.
**Space group**: C2/m, No. 12
**DOS at the Fermi energy**: 3.611 states/eV/cell

a = 4.4027 Å, b = 4.7699 Å, c = 7.6473 Å
α = 100.41°, β = 90.00°, γ = 117.48°
Last column: nearest neighbours and their distance in Å.
Element x y z (fractional)
Zn  0.4282  0.8565  0.3158  3 Hg 2.77-2.78, 5 Li 2.82-3.05, 1 Zn 2.83
Zn  0.5718  0.1435  0.6842  3 Hg 2.77-2.78, 5 Li 2.82-3.05, 1 Zn 2.83
Li  0.8687  0.7375  0.5709  1 Li 2.66, 3 Hg 2.68-2.92, 3 Zn 2.82
Li  0.1313  0.2625  0.4291  1 Li 2.66, 3 Hg 2.68-2.92, 3 Zn 2.82
Sm  0.0000  0.0000  0.0000  6 Hg 3.14-3.18, 2 Li 3.24, 4 Zn 3.41
Hg  0.2722  0.5444  0.7765  3 Li 2.68-2.92, 3 Zn 2.77-2.78
Hg  0.7278  0.4556  0.2235  3 Li 2.68-2.92, 3 Zn 2.77-2.78

***

(3)
First-principles (GGA-PBE) data for a relaxed BeFeCoNi crystal, as listed in Alexandria.

Results
**Electronic total energy**: -25.75 eV/f.u.
**Space group**: F-43m, No. 216
**DOS at the Fermi energy**: 2.118 states/eV/cell

a = 3.8856 Å, b = 3.8856 Å, c = 3.8856 Å
α = 60.00°, β = 60.00°, γ = 60.00°
Last column: nearest neighbours and their distance in Å.
Element x y z (fractional)
Fe  0.7500  0.7500  0.7500  4 Ni 2.38, 4 Co 2.38
Ni  0.0000  0.0000  0.0000  4 Fe 2.38, 4 Be 2.38
Be  0.2500  0.2500  0.2500  4 Ni 2.38, 4 Co 2.38
Co  0.5000  0.5000  0.5000  4 Fe 2.38, 4 Be 2.38

***

(4)
First-principles (GGA-PBE) data for a relaxed TaCu3Se3S crystal, as listed in Alexandria.

Results
**Electronic total energy**: -43.11 eV/f.u.
**Space group**: R3m, No. 160
**DOS at the Fermi energy**: 0.000 states/eV/cell

a = 5.6807 Å, b = 5.6807 Å, c = 5.6807 Å
α = 88.86°, β = 88.86°, γ = 88.86°
Last column: nearest neighbours and their distance in Å.
Element x y z (fractional)
Cu  0.0050  0.0050  0.4974  1 S 2.35, 3 Se 2.48-2.50
Cu  0.0050  0.4974  0.0050  1 S 2.35, 3 Se 2.48-2.50
Cu  0.4974  0.0050  0.0050  1 S 2.35, 3 Se 2.48-2.50
Se  0.2585  0.7516  0.7516  1 Ta 2.46, 3 Cu 2.48-2.50
Se  0.7516  0.2585  0.7516  1 Ta 2.46, 3 Cu 2.48-2.50
Se  0.7516  0.7516  0.2585  1 Ta 2.46, 3 Cu 2.48-2.50
S  0.2312  0.2312  0.2312  1 Ta 2.32, 3 Cu 2.35
Ta  0.9997  0.9997  0.9997  1 S 2.32, 3 Se 2.46

***

(5)
First-principles (GGA-PBE) data for a relaxed KLaNb2O8 crystal, as listed in Alexandria.

Results
**Electronic total energy**: -92.77 eV/f.u.
**Space group**: I-4m2, No. 119
**DOS at the Fermi energy**: 9.918 states/eV/cell

a = 6.5926 Å, b = 6.5926 Å, c = 6.5926 Å
α = 106.50°, β = 106.50°, γ = 115.58°
Last column: nearest neighbours and their distance in Å.
Element x y z (fractional)
O  0.3491  0.1522  0.8031  1 Nb 1.88
O  0.4540  0.6509  0.8031  1 Nb 1.88
O  0.3491  0.5460  0.1969  1 Nb 1.88
O  0.8478  0.6509  0.1969  1 Nb 1.88
O  0.9293  0.2532  0.3240  1 Nb 1.88
O  0.7468  0.0707  0.6760  1 Nb 1.88
O  0.9293  0.6053  0.6760  1 Nb 1.88
O  0.3947  0.0707  0.3240  1 Nb 1.88
Nb  0.7500  0.2500  0.5000  4 O 1.88
Nb  0.5000  0.5000  0.0000  4 O 1.88
K  0.0000  0.0000  0.0000  8 O 2.60-2.90
La  0.2500  0.7500  0.5000  8 O 2.49-2.65

***

(6)
First-principles (GGA-PBE) data for a relaxed Ac3TlB4O12 crystal, as listed in Alexandria.

Results
**Electronic total energy**: -153.27 eV/f.u.
**Space group**: R32, No. 155

a = 6.8517 Å, b = 6.8517 Å, c = 6.8517 Å
α = 101.08°, β = 101.08°, γ = 101.08°
Last column: nearest neighbours and their distance in Å.
Element x y z (fractional)
O  0.5000  0.1180  0.8820  1 B 1.36
O  0.1180  0.8820  0.5000  1 B 1.36
O  0.3700  0.6300  0.5000  1 B 1.38
O  0.6426  0.8674  0.0252  1 B 1.40
O  0.0252  0.6426  0.8674  1 B 1.40
O  0.6300  0.5000  0.3700  1 B 1.38
O  0.5000  0.3700  0.6300  1 B 1.38
O  0.9748  0.1326  0.3574  1 B 1.40
O  0.3574  0.9748  0.1326  1 B 1.40
O  0.8674  0.0252  0.6426  1 B 1.40
O  0.8820  0.5000  0.1180  1 B 1.36
O  0.1326  0.3574  0.9748  1 B 1.40
Tl  0.0000  0.0000  0.0000  6 O 2.49
Ac  0.4872  0.0000  0.5128  6 O 2.48-2.55
Ac  0.0000  0.5128  0.4872  6 O 2.48-2.55
Ac  0.5128  0.4872  0.0000  6 O 2.48-2.55
B  0.5000  0.5000  0.5000  3 O 1.38
B  0.5000  0.9892  0.0108  3 O 1.36-1.40
B  0.0108  0.5000  0.9892  3 O 1.36-1.40
B  0.9892  0.0108  0.5000  3 O 1.36-1.40

***

(7)
First-principles (GGA-PBE) data for a relaxed MgTl2CdSi crystal, as listed in Alexandria.

Results
**Electronic total energy**: -10.09 eV/f.u.
**Space group**: P4/mmm, No. 123
**DOS at the Fermi energy**: 2.007 states/eV/cell

a = 5.6277 Å, b = 4.9352 Å, c = 5.6277 Å
α = 90.00°, β = 90.00°, γ = 90.00°
Last column: nearest neighbours and their distance in Å.
Element x y z (fractional)
Tl  0.5000  0.0000  0.0000  2 Mg 2.81
Tl  0.0000  0.0000  0.5000  2 Mg 2.81
Cd  0.5000  0.5000  0.5000  8 Tl 3.74, 4 Si 3.98
Si  0.0000  0.5000  0.0000  2 Mg 2.47
Mg  0.0000  0.0000  0.0000  2 Si 2.47

***

(8)
First-principles (GGA-PBE) data for a relaxed Zn2FePd3 crystal, as listed in Alexandria.

Results
**Electronic total energy**: -28.88 eV/f.u.
**Space group**: P4/mmm, No. 123
**DOS at the Fermi energy**: 2.592 states/eV/cell

a = 2.8501 Å, b = 2.8501 Å, c = 10.5420 Å
α = 90.00°, β = 90.00°, γ = 90.00°
Last column: nearest neighbours and their distance in Å.
Element x y z (fractional)
Pd  0.0000  0.0000  0.0000  8 Zn 2.67, 4 Pd 2.85
Pd  0.0000  0.0000  0.3328  4 Zn 2.67, 4 Fe 2.68, 4 Pd 2.85
Pd  0.0000  0.0000  0.6672  4 Zn 2.67, 4 Fe 2.68, 4 Pd 2.85
Zn  0.5000  0.5000  0.1663  8 Pd 2.67, 4 Zn 2.85
Zn  0.5000  0.5000  0.8337  8 Pd 2.67, 4 Zn 2.85
Fe  0.5000  0.5000  0.5000  8 Pd 2.68, 4 Fe 2.85

***

(9)
First-principles (GGA-PBE) data for a relaxed Ac8Sn3Bi2 crystal, as listed in Alexandria.

Results
**Electronic total energy**: -57.98 eV/f.u.
**Space group**: C2/m, No. 12
**DOS at the Fermi energy**: 13.759 states/eV/cell

a = 8.2428 Å, b = 9.1919 Å, c = 9.7697 Å
α = 118.06°, β = 106.35°, γ = 90.00°
Last column: nearest neighbours and their distance in Å.
Element x y z (fractional)
Sn  0.5000  0.0000  0.0000  6 Ac 3.27-3.36
Sn  0.0000  0.2625  0.0000  6 Ac 3.28-3.30
Sn  0.0000  0.7375  0.0000  6 Ac 3.28-3.30
Ac  0.0837  0.8875  0.7750  3 Sn 3.30-3.36, 1 Bi 3.53
Ac  0.5951  0.6344  0.7774  2 Sn 3.27-3.28, 2 Bi 3.46-3.50
Ac  0.8535  0.6042  0.2083  2 Sn 3.29, 1 Bi 3.44
Ac  0.4049  0.3656  0.2226  2 Sn 3.27-3.28, 2 Bi 3.46-3.50
Ac  0.5951  0.1430  0.7774  2 Sn 3.27-3.28, 2 Bi 3.46-3.50
Ac  0.1465  0.3958  0.7917  2 Sn 3.29, 1 Bi 3.44
Ac  0.4049  0.8570  0.2226  2 Sn 3.27-3.28, 2 Bi 3.46-3.50
Ac  0.9163  0.1125  0.2250  3 Sn 3.30-3.36, 1 Bi 3.53
Bi  0.3414  0.2464  0.4927  6 Ac 3.44-3.53
Bi  0.6586  0.7536  0.5073  6 Ac 3.44-3.53